[1]
Compound: CdHg4Bi3
Source: the Alexandria database
Functional: PBE
Structure: optimized geometry

Structure (POSCAR):
```
CdHg4Bi3
1.0
6.766 0.000 0.000
0.000 7.015 0.000
0.000 0.000 9.382
Cd Hg Bi
2 8 6
Cartesian
0.000 0.023 0.000
3.383 6.992 4.691
0.000 3.509 4.661
0.000 7.011 4.660
1.673 5.256 7.039
1.710 1.758 2.348
3.383 0.004 9.351
3.383 3.506 9.352
5.056 1.758 2.348
5.092 5.256 7.039
0.000 3.481 0.003
1.692 1.635 7.004
1.690 5.379 2.313
3.383 3.534 4.694
5.073 1.635 7.004
5.075 5.379 2.313
```

Results
* volume: 27.83 Å³/atom
* SG: Pmn2_1 (31)
* DFT formation energy: 0.07 eV/atom
* spin magnetization: 0.000 μB per atom

[2]
Compound: Li2DyAu3
Source: the Alexandria database
Functional: PBE
Structure: optimized geometry

Structure (POSCAR):
```
Li2DyAu3
1.0
3.070 1.773 7.480
-3.070 1.773 7.480
0.000 -3.545 7.480
Li Dy Au
4 2 6
Cartesian
0.000 0.000 3.333
0.000 0.000 7.887
0.000 0.000 14.553
0.000 0.000 19.107
0.000 0.000 0.000
0.000 0.000 11.220
-2.237 -0.329 9.350
-0.833 -2.102 13.090
1.403 -1.773 9.350
-1.403 1.773 13.090
0.833 2.102 9.350
2.237 0.329 13.090
```

Results
* volume: 20.36 Å³/atom
* SG: R-3c (167)
* distance to the lowest polymorph of the same formula: 157.0 meV per atom
* DFT formation energy: -0.51 eV/atom
* spin magnetization: 0.000 μB per atom

[3]
Compound: TbPuCd2
Source: the Alexandria database
Functional: PBE
Structure: optimized geometry

Structure (POSCAR):
```
TbPuCd2
1.0
0.000 3.771 3.771
3.771 0.000 3.771
3.771 3.771 0.000
Tb Pu Cd
1 1 2
Cartesian
0.000 0.000 0.000
3.771 3.771 3.771
1.885 1.885 1.885
5.656 5.656 5.656
```

Results
* volume: 26.80 Å³/atom
* SG: Fm-3m (225)
* distance to the lowest polymorph of the same formula: 16.2 meV per atom
* DFT formation energy: -0.11 eV/atom
* spin magnetization: 1.583 μB per atom

Copy entry 2 word for word.
Compound: Li2DyAu3
Source: the Alexandria database
Functional: PBE
Structure: optimized geometry

Structure (POSCAR):
```
Li2DyAu3
1.0
3.070 1.773 7.480
-3.070 1.773 7.480
0.000 -3.545 7.480
Li Dy Au
4 2 6
Cartesian
0.000 0.000 3.333
0.000 0.000 7.887
0.000 0.000 14.553
0.000 0.000 19.107
0.000 0.000 0.000
0.000 0.000 11.220
-2.237 -0.329 9.350
-0.833 -2.102 13.090
1.403 -1.773 9.350
-1.403 1.773 13.090
0.833 2.102 9.350
2.237 0.329 13.090
```

Results
* volume: 20.36 Å³/atom
* SG: R-3c (167)
* distance to the lowest polymorph of the same formula: 157.0 meV per atom
* DFT formation energy: -0.51 eV/atom
* spin magnetization: 0.000 μB per atom